Entry 1:
PmInRu: optimized geometry, GGA-PBE.

Values from the calculation:
- D(E_F): 1.047 states/eV/f.u.
- Energy above the most stable polymorph in this dataset: 153 meV/atom
- Formation energy: -0.139 eV per atom

Cell and atoms, written as CIF:
```
data_PmInRu
_symmetry_space_group_name_H-M 'P 1'
_symmetry_Int_Tables_number 1
_cell_length_a 4.723
_cell_length_b 4.723
_cell_length_c 4.723
_cell_angle_alpha 60.00
_cell_angle_beta 60.00
_cell_angle_gamma 60.00
loop_
_symmetry_equiv_pos_as_xyz
'x,y,z'
loop_
_atom_site_label
_atom_site_fract_x
_atom_site_fract_y
_atom_site_fract_z
_atom_site_occupancy
Pm1 0.000 0.000 0.000 1
In1 0.500 0.500 0.500 1
Ru1 0.750 0.750 0.750 1
```

=====

Entry 2:
CaCrCl2: optimized geometry, GGA-PBE.

Values from the calculation:
- D(E_F): 0.500 states/eV/f.u.
- Energy above the most stable polymorph in this dataset: 208 meV/atom
- Formation energy without anion corrections: -0.719 eV/atom

Cell and atoms, written as CIF:
```
data_CaCrCl2
_symmetry_space_group_name_H-M 'P 1'
_symmetry_Int_Tables_number 1
_cell_length_a 5.045
_cell_length_b 5.045
_cell_length_c 5.045
_cell_angle_alpha 60.00
_cell_angle_beta 60.00
_cell_angle_gamma 60.00
loop_
_symmetry_equiv_pos_as_xyz
'x,y,z'
loop_
_atom_site_label
_atom_site_fract_x
_atom_site_fract_y
_atom_site_fract_z
_atom_site_occupancy
Ca1 0.000 0.000 0.000 1
Cr1 0.500 0.500 0.500 1
Cl1 0.250 0.250 0.250 1
Cl2 0.750 0.750 0.750 1
```

=====

Entry 3:
VTc2Se: optimized geometry, GGA-PBE.

Values from the calculation:
- D(E_F): 4.041 states/eV/f.u.
- Formation energy without anion corrections: 0.823 eV/atom

Cell and atoms, written as CIF:
```
data_VTc2Se
_symmetry_space_group_name_H-M 'P 1'
_symmetry_Int_Tables_number 1
_cell_length_a 6.390
_cell_length_b 6.390
_cell_length_c 6.390
_cell_angle_alpha 126.61
_cell_angle_beta 126.61
_cell_angle_gamma 78.89
loop_
_symmetry_equiv_pos_as_xyz
'x,y,z'
loop_
_atom_site_label
_atom_site_fract_x
_atom_site_fract_y
_atom_site_fract_z
_atom_site_occupancy
V1 0.000 0.000 0.000 1
V2 0.750 0.250 0.500 1
Tc1 0.119 0.625 0.994 1
Tc2 0.375 0.369 0.494 1
Tc3 0.631 0.125 0.006 1
Tc4 0.875 0.881 0.506 1
Se1 0.250 0.750 0.500 1
Se2 0.500 0.500 0.000 1
```